# Mg2Sb

A relaxed structure of Mg2Sb (PBE, Alexandria).

Calculated values
E_form (uncorrected) ... -0.21 eV/atom
Total magnetization ... 0.000 μB/atom
Space-group type ... No. 189

Lattice parameters (Å, degrees): 7.6028 7.6028 4.4742 90.00 90.00 120.00
Closest atoms and distances in Å follow each position.
Sites, in units of the cell vectors:
Mg  0.2559  0.0000  0.0000  4 Sb 2.87-2.96
Mg  0.0000  0.2559  0.0000  4 Sb 2.87-2.96
Mg  0.7441  0.7441  0.0000  4 Sb 2.87-2.96
Mg  0.5814  0.0000  0.5000  5 Sb 3.18-3.19, 2 Mg 3.34
Mg  0.0000  0.5814  0.5000  5 Sb 3.18-3.19, 2 Mg 3.34
Mg  0.4186  0.4186  0.5000  5 Sb 3.18-3.19, 2 Mg 3.34
Sb  0.3333  0.6667  0.0000  9 Mg 2.87-3.19
Sb  0.6667  0.3333  0.0000  9 Mg 2.87-3.19
Sb  0.0000  0.0000  0.5000  9 Mg 2.96-3.18